A plane-wave DFT calculation with GGA-PBE was carried out for an optimized crystal structure of Li2CaTl.

Computed properties:
Fermi-level density of states, states/eV per atom: 0.62
E_tot, eV for the cell shown: -8.83
ΔH_f (0 K), eV per atom: -0.1582

Unit cell a=4.229 b=4.769 c=5.022 alpha=90.00 beta=90.00 gamma=90.00
Space group Pmmm (No. 47)
One atom of each set of equivalent atoms:
1 Li 0.000 0.000 0.000 x1
2 Li 0.500 0.000 0.500 x1
3 Ca 0.000 0.500 0.500 x1
4 Tl 0.500 0.500 0.000 x1

***

A plane-wave DFT calculation with GGA-PBE was carried out for an optimized crystal structure of LiCa2Tl2.

Computed properties:
Excess energy over the best structure of this formula in the dataset, meV per atom: 117
Fermi-level density of states, states/eV per atom: 0.79
E_tot, eV for the cell shown: -46.48
ΔH_f (0 K), eV per atom: -0.1943

Unit cell a=6.707 b=14.178 c=6.328 alpha=90.00 beta=90.00 gamma=90.00
Space group Ibam (No. 72)
One atom of each set of equivalent atoms:
1 Li 0.000 0.000 0.250 x4
2 Ca 0.171 0.361 0.000 x8
3 Tl 0.174 0.133 0.000 x8

***

A plane-wave DFT calculation with GGA-PBE was carried out for an optimized crystal structure of Li5CaTl6.

Computed properties:
Fermi-level density of states, states/eV per atom: 0.41
E_tot, eV for the cell shown: -57.31
ΔH_f (0 K), eV per atom: -0.2403

Unit cell a=4.913 b=7.503 c=14.789 alpha=90.00 beta=90.00 gamma=90.00
Space group Immm (No. 71)
One atom of each set of equivalent atoms:
1 Li 0.000 0.000 0.000 x2
2 Li 0.000 0.000 0.337 x4
3 Li 0.000 0.500 0.325 x4
4 Ca 0.000 0.500 0.000 x2
5 Tl 0.000 0.232 0.173 x8
6 Tl 0.000 0.281 0.500 x4

***

A plane-wave DFT calculation with GGA-PBE was carried out for an optimized crystal structure of Li5Ca2Tl.

Computed properties:
Fermi-level density of states, states/eV per atom: 0.37
E_tot, eV for the cell shown: -15.57
ΔH_f (0 K), eV per atom: 0.0456

Unit cell a=6.493 b=6.493 c=5.194 alpha=90.00 beta=90.00 gamma=90.00
Space group P4/mmm (No. 123)
One atom of each set of equivalent atoms:
1 Li 0.000 0.000 0.000 x1
2 Li 0.288 0.288 0.500 x4
3 Ca 0.000 0.500 0.000 x2
4 Tl 0.000 0.000 0.500 x1

***

- The highest Fermi-level density of states belongs to which entry?
  LiCa2Tl2